Record 1
A plane-wave DFT calculation with GGA-PBE was carried out for a relaxed PmNd2Lu crystal.

M_tot, μB per formula unit: 0.0
Electronic total energy, eV/atom: -4.578

Lattice parameters (Å, degrees): 8.141 8.141 8.141 90.00 90.00 90.00
Space group Fm-3m (No. 225)
Unique sites:
Pm 0.000 0.000 0.000 [4 per cell]
Nd 0.250 0.250 0.250 [8 per cell]
Lu 0.000 0.000 0.500 [4 per cell]

Record 2
A plane-wave DFT calculation with GGA-PBE was carried out for a relaxed PmNd2Lu crystal.

M_tot, μB per formula unit: 0.0
Electronic total energy, eV/atom: -4.687

Lattice parameters (Å, degrees): 5.119 5.119 5.099 90.00 90.00 90.00
Space group P4/mmm (No. 123)
Unique sites:
Pm 0.000 0.000 0.000 [1 per cell]
Nd 0.000 0.500 0.500 [2 per cell]
Lu 0.500 0.500 0.000 [1 per cell]

Record 3
A plane-wave DFT calculation with GGA-PBE was carried out for a relaxed PmNdLu2 crystal.

M_tot, μB per formula unit: 0.0
Electronic total energy, eV/atom: -4.614

Lattice parameters (Å, degrees): 5.090 5.090 4.920 90.00 90.00 90.00
Space group P4/mmm (No. 123)
Unique sites:
Pm 0.000 0.000 0.000 [1 per cell]
Nd 0.500 0.500 0.000 [1 per cell]
Lu 0.000 0.500 0.500 [2 per cell]

Record 4
A plane-wave DFT calculation with GGA-PBE was carried out for a relaxed PmNd2Lu crystal.

M_tot, μB per formula unit: 0.0
Electronic total energy, eV/atom: -4.681

Lattice parameters (Å, degrees): 3.6242 3.6242 35.1824 90.00 90.00 120.00
Space group R-3m (No. 166, hexagonal axes)
Unique sites:
Pm 0.0000 0.0000 0.0000 [3 per cell]
Nd 0.0000 0.0000 0.2481 [6 per cell]
Lu 0.0000 0.0000 0.5000 [3 per cell]

no.,DOS at the Fermi energy (states/eV/cell),energy relative to the elements (meV per atom),volume (Å³ per atom)
1,34.81,123,33.73
2,5.79,15,33.41
3,6.31,26,31.87
4,14.11,21,33.35